VASP calculation (SCAN) on ScBe2As at its PBEsol-relaxed geometry.

Structure (POSCAR):
```
ScBe2As
1.0
3.1698 0.0000 0.0000
0.0000 3.1698 0.0000
0.0000 0.0000 5.5711
Sc Be As
1 2 1
Direct
0.0000 0.0000 0.0000
0.5000 0.5000 0.3072
0.5000 0.5000 0.6928
0.0000 0.0000 0.5000
```

Output
DFT total energy (eV/atom): -10.77
ΔE_f (meV/atom): 15
Space group: P4/mmm